KPtSe2 | PBE | relaxed

Cell: 7.499 7.499 7.499 Å, 31.13 31.13 31.13°
Atoms (fractional coordinates):
Pt 0.750 0.750 0.750
Se 0.473 0.473 0.473
Se 0.027 0.027 0.027
K 0.250 0.250 0.250

Calculated values
ΔE_f (raw) = -0.54 eV per atom
density of states at the Fermi level = 3.883 states/eV/f.u.